1.
KBaInF6 | PBE-GGA | relaxed

a = 6.5838 Å, b = 6.5838 Å, c = 9.2573 Å
α = 90.00°, β = 90.00°, γ = 120.00°
Element x y z (fractional)
1 F 0.6065 0.9409 0.8702
2 F 0.0591 0.3935 0.6298
3 F 0.6656 0.0591 0.3702
4 F 0.9409 0.3344 0.1298
5 F 0.3344 0.9409 0.6298
6 F 0.3935 0.0591 0.1298
7 F 0.3344 0.3935 0.8702
8 F 0.6656 0.6065 0.1298
9 F 0.3935 0.3344 0.3702
10 F 0.0591 0.6656 0.8702
11 F 0.6065 0.6656 0.6298
12 F 0.9409 0.6065 0.3702
13 Ba 0.3333 0.6667 0.2500
14 Ba 0.6667 0.3333 0.7500
15 In 0.3333 0.6667 0.7500
16 In 0.6667 0.3333 0.2500
17 K 0.0000 0.0000 0.0000
18 K 0.0000 0.0000 0.5000

Calculated values
Its symmetry is P-31c. The value obtained for the formation energy without anion corrections is -3.036 eV/atom.

2.
K2BaInF | PBE-GGA | relaxed

a = 5.5158 Å, b = 5.5158 Å, c = 5.6644 Å
α = 90.00°, β = 90.00°, γ = 90.00°
Last column: magnetic moment on the atom in μB.
Element x y z (fractional)
1 K 0.0000 0.5000 0.0000  0.01
2 K 0.5000 0.0000 0.0000  0.01
3 F 0.0000 0.0000 0.0000  0.00
4 Ba 0.0000 0.0000 0.5000  0.08
5 In 0.5000 0.5000 0.5000  0.13

Calculated values
Its symmetry is P4/mmm. The value obtained for the formation energy without anion corrections is -1.125 eV/atom.

3.
Ba2LiInF | PBE-GGA | relaxed

a = 5.8680 Å, b = 5.8680 Å, c = 4.3660 Å
α = 90.00°, β = 90.00°, γ = 90.00°
Element x y z (fractional)
1 In 0.5000 0.5000 0.5000
2 Ba 0.0000 0.5000 0.0000
3 Ba 0.5000 0.0000 0.0000
4 Li 0.0000 0.0000 0.5000
5 F 0.0000 0.0000 0.0000

Calculated values
Its symmetry is P4/mmm. The value obtained for the formation energy without anion corrections is -1.267 eV/atom.

4.
Ba2MgInF | PBE-GGA | relaxed

a = 5.8869 Å, b = 5.8869 Å, c = 4.5478 Å
α = 90.00°, β = 90.00°, γ = 90.00°
Element x y z (fractional)
1 F 0.0000 0.0000 0.0000
2 Ba 0.0000 0.5000 0.0000
3 Ba 0.5000 0.0000 0.0000
4 In 0.5000 0.5000 0.5000
5 Mg 0.0000 0.0000 0.5000

Calculated values
Its symmetry is P4/mmm. The value obtained for the formation energy without anion corrections is -1.164 eV/atom.

- Look up the formation energy without anion corrections of the second one.
  -1.125 eV/atom

- What is the formation energy without anion corrections in the fourth record?
  -1.164 eV/atom

- Number 2 is which compound?
  K2BaInF